Record 1
First-principles (PBE) data for Mg3AgAu after structural relaxation, as listed in the Alexandria database.

Values from the calculation:
DOS at the Fermi energy	2.0	states/eV/cell
energy of formation	0.004	eV per atom
relative energy among the computed polymorphs	364	meV/atom
density	4.82	Mg/m³

a b c (Å): 5.0671 5.0671 5.0671
angles (deg): 90.00 90.00 90.00
Last column: nearest neighbours and their distance in Å.
Space group Pm-3m (No. 221)
Symmetry-distinct sites (fractional):
Mg 0.0000 0.0000 0.5000 (multiplicity 3)  2 Au 2.53
Ag 0.5000 0.5000 0.5000 (multiplicity 1)  12 Mg 3.58
Au 0.0000 0.0000 0.0000 (multiplicity 1)  6 Mg 2.53

=====

Record 2
First-principles (PBE) data for CaRe3Pd after structural relaxation, as listed in the Alexandria database.

Values from the calculation:
DOS at the Fermi energy	10.1	states/eV/cell
energy of formation	2.128	eV per atom
relative energy among the computed polymorphs	0	meV/atom
density	10.66	Mg/m³

a b c (Å): 4.7890 4.7890 4.7890
angles (deg): 90.00 90.00 90.00
Last column: nearest neighbours and their distance in Å.
Space group Pm-3m (No. 221)
Symmetry-distinct sites (fractional):
Ca 0.0000 0.0000 0.0000 (multiplicity 1)  12 Re 3.39
Re 0.0000 0.5000 0.5000 (multiplicity 3)  2 Pd 2.39
Pd 0.5000 0.5000 0.5000 (multiplicity 1)  6 Re 2.39

=====

Record 3
First-principles (PBE) data for SmCoSi3Ru after structural relaxation, as listed in the Alexandria database.

Values from the calculation:
energy relative to the elements, uncorrected	-0.432	eV/atom
DOS at the Fermi energy	14.5	states/eV/cell
density	6.07	Mg/m³

a b c (Å): 7.1084 11.0436 5.5030
angles (deg): 90.00 90.00 90.00
Last column: nearest neighbours and their distance in Å.
Space group Cmcm (No. 63)
Symmetry-distinct sites (fractional):
Sm 0.0000 0.2416 0.2500 (multiplicity 4)  2 Si 2.75
Co 0.0000 0.0472 0.7500 (multiplicity 4)  5 Si 2.08-2.27
Si 0.0000 0.2356 0.7500 (multiplicity 4)  1 Co 2.08, 1 Ru 2.20
Si 0.2430 0.0000 0.0000 (multiplicity 8)  2 Co 2.27, 2 Ru 2.40
Ru 0.0000 0.4351 0.7500 (multiplicity 4)  5 Si 2.20-2.40

=====

Record 4
First-principles (PBE) data for Li12Te3Cl5 after structural relaxation, as listed in the Alexandria database.

Values from the calculation:
energy relative to the elements, uncorrected	-1.270	eV/atom
DOS at the Fermi energy	13.0	states/eV/cell
density	2.40	Mg/m³

a b c (Å): 15.2628 15.2628 15.2628
angles (deg): 90.00 90.00 90.00
Last column: nearest neighbours and their distance in Å.
Space group Ia-3d (No. 230)
Symmetry-distinct sites (fractional):
Li 0.0206 0.0641 0.6539 (multiplicity 96)  2 Cl 2.38-2.56
Te 0.0000 0.2500 0.1250 (multiplicity 24)  8 Li 2.84-2.89
Cl 0.0000 0.0000 0.0000 (multiplicity 16)  6 Li 2.56
Cl 0.0000 0.2500 0.3750 (multiplicity 24)  4 Li 2.38

=====

Record 5
First-principles (PBE) data for Cu3SnP after structural relaxation, as listed in the Alexandria database.

Values from the calculation:
DOS at the Fermi energy	3.3	states/eV/cell
energy of formation	1.154	eV per atom
relative energy among the computed polymorphs	925	meV/atom
density	5.12	Mg/m³

a b c (Å): 4.7961 4.7961 4.7961
angles (deg): 90.00 90.00 90.00
Last column: nearest neighbours and their distance in Å.
Space group Pm-3m (No. 221)
Symmetry-distinct sites (fractional):
Cu 0.0000 0.0000 0.5000 (multiplicity 3)  2 Sn 2.40
Sn 0.0000 0.0000 0.0000 (multiplicity 1)  6 Cu 2.40
P 0.5000 0.5000 0.5000 (multiplicity 1)  12 Cu 3.39

=====

Record 6
First-principles (PBE) data for PbC after structural relaxation, as listed in the Alexandria database.

Values from the calculation:
DOS at the Fermi energy	2.6	states/eV/cell
energy of formation	0.961	eV per atom
relative energy among the computed polymorphs	109	meV/atom
density	7.85	Mg/m³

a b c (Å): 14.8982 3.6978 3.4590
angles (deg): 90.00 103.21 90.00
Last column: nearest neighbours and their distance in Å.
Space group C2/m (No. 12)
Symmetry-distinct sites (fractional):
Pb 0.1522 0.0000 0.1491 (multiplicity 4)  2 C 2.43
C 0.0439 0.5000 0.0435 (multiplicity 4)  1 C 1.27